The following is a PBE calculation of a relaxed structure of AcPuCdPd, from the Alexandria database.

POSCAR file:
```
AcPuCdPd
1.0
5.391 0.000 0.000
2.695 4.669 0.000
2.695 1.556 4.402
Pd Ac Cd Pu
1 1 1 1
Direct
0.250 0.250 0.250
0.000 0.000 0.000
0.750 0.750 0.750
0.500 0.500 0.500
```

Calculated values
For the theoretical density, the calculation gives 10.341 g/cm³. Its energy of formation is -231 meV per atom.